# Li3Ac3USe8 (PBE, relaxed)
# **Uncorrected formation energy**: -1.573 eV per atom
# **Total moment**: 0.13 μB per atom
data_Li3Ac3USe8
_chemical_formula_sum 'Li6 Ac6 U2 Se16'
_cell_length_a 13.8741
_cell_length_b 8.8678
_cell_length_c 8.2308
_cell_angle_alpha 90.00
_cell_angle_beta 120.05
_cell_angle_gamma 90.00
_space_group_name_H-M_alt 'C 1 2/m 1'
_space_group_IT_number 12
loop_
_space_group_symop_operation_xyz
'x,y,z'
'-x,-y,-z'
'-x,y,-z'
'x,-y,z'
'x+1/2,y+1/2,z'
'-x+1/2,-y+1/2,-z'
'-x+1/2,y+1/2,-z'
'x+1/2,-y+1/2,z'
loop_
_atom_site_label
_atom_site_fract_x
_atom_site_fract_y
_atom_site_fract_z
_atom_site_occupancy
Li1 0.0000 0.0000 0.0000 1
Li2 0.2500 0.2500 0.5000 1
Ac1 0.0000 0.5000 0.5000 1
Ac2 0.2500 0.2500 0.0000 1
U1 0.0000 0.0000 0.5000 1
Se1 0.0073 0.2304 0.2632 1
Se2 0.2371 0.0000 0.7229 1
Se3 0.2443 0.0000 0.2549 1